No. 1
A plane-wave DFT calculation with PBE was carried out for a relaxed Pm3YHo7 crystal.

- Space-group type: P2/m
- Excess energy over the best structure of this formula in the dataset: 0.000 eV/atom
- E_form: 0.15 eV per atom
- Total energy: -4.649 eV per atom
- Total moment: 0.0000 μB per atom

Cell: 8.885 10.030 5.516 Å, 90.00 128.37 106.09°
Positions (direct):
Pm  0.216  0.998  0.716
Pm  0.000  0.500  0.000
Pm  0.784  0.002  0.284
Y  0.500  0.500  0.500
Ho  0.910  0.830  0.910
Ho  0.818  0.638  0.318
Ho  0.642  0.289  0.143
Ho  0.358  0.711  0.857
Ho  0.500  0.000  0.500
Ho  0.182  0.362  0.682
Ho  0.090  0.170  0.090


No. 2
A plane-wave DFT calculation with PBE was carried out for a relaxed Pm4YHo5 crystal.

- Space-group type: C2/m
- Excess energy over the best structure of this formula in the dataset: 0.000 eV/atom
- E_form: 0.19 eV per atom
- Total energy: -4.644 eV per atom
- Total moment: 0.0000 μB per atom

Cell: 3.528 11.190 8.769 Å, 90.12 101.56 90.00°
Positions (direct):
Pm  0.654  0.250  0.311
Pm  0.969  0.251  0.937
Pm  0.346  0.750  0.689
Pm  0.031  0.749  0.063
Y  0.500  0.000  0.000
Ho  0.173  0.551  0.347
Ho  0.174  0.947  0.348
Ho  0.826  0.053  0.652
Ho  0.500  0.500  0.000
Ho  0.827  0.449  0.653


No. 3
A plane-wave DFT calculation with PBE was carried out for a relaxed PmY2Ho crystal.

- Space-group type: Cm
- Excess energy over the best structure of this formula in the dataset: 0.000 eV/atom
- E_form: 0.01 eV per atom
- Total energy: -5.553 eV per atom
- Total moment: 0.0000 μB per atom

Cell: 3.658 6.772 6.772 Å, 114.88 105.67 105.65°
Positions (direct):
Pm  0.332  0.589  0.958
Y  0.334  0.093  0.457
Y  0.668  0.678  0.543
Ho  0.666  0.176  0.042


No. 4
A plane-wave DFT calculation with PBE was carried out for a relaxed Pm19Y6Ho4 crystal.

- Space-group type: I23
- E_form: 0.37 eV per atom
- Total energy: -4.715 eV per atom
- Total moment: 0.0000 μB per atom

Cell: 10.944 10.944 10.943 Å, 109.47 109.47 109.47°
Positions (direct):
Pm  0.743  0.000  0.743
Pm  0.257  0.000  0.257
Pm  0.257  0.257  0.000
Pm  0.743  0.743  0.000
Pm  0.000  0.743  0.743
Pm  0.000  0.257  0.257
Pm  0.000  0.000  0.000
Pm  0.195  0.219  0.539
Pm  0.805  0.344  0.024
Pm  0.680  0.656  0.461
Pm  0.024  0.805  0.344
Pm  0.320  0.781  0.976
Pm  0.539  0.195  0.219
Pm  0.976  0.320  0.781
Pm  0.461  0.680  0.656
Pm  0.781  0.976  0.320
Pm  0.344  0.024  0.805
Pm  0.219  0.539  0.195
Pm  0.656  0.461  0.680
Y  0.374  0.500  0.874
Y  0.626  0.500  0.126
Y  0.126  0.626  0.500
Y  0.874  0.374  0.500
Y  0.500  0.874  0.374
Y  0.500  0.126  0.626
Ho  0.000  0.000  0.638
Ho  0.000  0.638  0.000
Ho  0.362  0.362  0.362
Ho  0.638  0.000  0.000


No. 5
A plane-wave DFT calculation with PBE was carried out for a relaxed PmY4Ho crystal.

- Space-group type: P4/mmm
- Excess energy over the best structure of this formula in the dataset: 0.677 eV/atom
- E_form: 0.75 eV per atom
- Total energy: -5.119 eV per atom
- Total moment: 0.0001 μB per atom

Cell: 5.420 5.421 7.847 Å, 90.00 90.00 90.00°
Positions (direct):
Pm  0.997  0.001  0.502
Y  0.997  0.501  0.757
Y  0.997  0.501  0.247
Y  0.497  0.001  0.247
Y  0.497  0.001  0.757
Ho  0.497  0.501  0.002


No. 6
A plane-wave DFT calculation with PBE was carried out for a relaxed Pm2YHo7 crystal.

- Space-group type: Cmmm
- Excess energy over the best structure of this formula in the dataset: 0.000 eV/atom
- E_form: 0.16 eV per atom
- Total energy: -4.645 eV per atom
- Total moment: 0.0000 μB per atom

Cell: 3.517 14.730 14.730 Å, 154.61 90.00 90.00°
Positions (direct):
Pm  0.500  0.708  0.292
Pm  0.500  0.292  0.708
Y  0.000  0.000  0.000
Ho  0.000  0.815  0.185
Ho  0.000  0.185  0.815
Ho  0.500  0.148  0.345
Ho  0.500  0.852  0.655
Ho  0.500  0.345  0.148
Ho  0.500  0.655  0.852
Ho  0.500  0.500  0.500


No. 7
A plane-wave DFT calculation with PBE was carried out for a relaxed Pm4YHo crystal.

- Space-group type: Cmmm
- Excess energy over the best structure of this formula in the dataset: 0.532 eV/atom
- E_form: 0.64 eV per atom
- Total energy: -4.369 eV per atom
- Total moment: 0.0000 μB per atom

Cell: 3.476 8.280 8.280 Å, 90.13 90.00 90.00°
Positions (direct):
Pm  0.500  0.259  0.741
Pm  0.000  0.762  0.762
Pm  0.000  0.238  0.238
Pm  0.500  0.741  0.259
Y  0.000  0.500  0.500
Ho  0.500  0.000  0.000


No. 8
A plane-wave DFT calculation with PBE was carried out for a relaxed Pm4YHo5 crystal.

- Space-group type: I4mm
- Excess energy over the best structure of this formula in the dataset: 0.059 eV/atom
- E_form: 0.25 eV per atom
- Total energy: -4.585 eV per atom
- Total moment: 0.0000 μB per atom

Cell: 5.940 8.106 8.106 Å, 82.29 68.51 68.51°
Positions (direct):
Pm  0.454  0.324  0.676
Pm  0.778  0.676  0.676
Pm  0.130  0.324  0.324
Pm  0.454  0.676  0.324
Y  0.215  0.000  0.000
Ho  0.758  0.378  0.000
Ho  0.136  0.000  0.622
Ho  0.758  0.000  0.378
Ho  0.136  0.622  0.000
Ho  0.690  0.000  0.000


No. 9
A plane-wave DFT calculation with PBE was carried out for a relaxed Pm3Y5Ho4 crystal.

- Space-group type: P-1
- Excess energy over the best structure of this formula in the dataset: 0.000 eV/atom
- E_form: 0.02 eV per atom
- Total energy: -5.388 eV per atom
- Total moment: 0.0000 μB per atom

Cell: 7.151 11.306 12.886 Å, 151.29 56.37 129.27°
Positions (direct):
Pm  0.586  0.168  0.334
Pm  0.000  0.000  0.500
Pm  0.414  0.832  0.666
Y  0.334  0.667  0.833
Y  0.500  0.000  0.500
Y  0.749  0.501  0.001
Y  0.251  0.499  0.999
Y  0.666  0.333  0.167
Ho  0.918  0.834  0.667
Ho  0.835  0.669  0.834
Ho  0.165  0.331  0.166
Ho  0.082  0.166  0.333


No. 10
A plane-wave DFT calculation with PBE was carried out for a relaxed Pm12YHo7 crystal.

- Space-group type: R-3m
- Excess energy over the best structure of this formula in the dataset: 0.000 eV/atom
- E_form: 0.25 eV per atom
- Total energy: -4.528 eV per atom
- Total moment: 0.0000 μB per atom

Cell: 6.195 11.512 11.512 Å, 116.85 100.33 100.33°
Positions (direct):
Pm  0.087  0.587  0.174
Pm  0.087  0.174  0.587
Pm  0.588  0.647  0.000
Pm  0.412  0.000  0.353
Pm  0.500  0.413  0.587
Pm  0.059  0.647  0.647
Pm  0.941  0.353  0.353
Pm  0.500  0.587  0.413
Pm  0.588  0.000  0.647
Pm  0.412  0.353  0.000
Pm  0.913  0.826  0.413
Pm  0.913  0.413  0.826
Y  0.000  0.000  0.000
Ho  0.127  0.755  0.000
Ho  0.873  0.000  0.245
Ho  0.628  0.755  0.755
Ho  0.500  0.000  0.000
Ho  0.372  0.245  0.245
Ho  0.127  0.000  0.755
Ho  0.873  0.245  0.000


No. 11
A plane-wave DFT calculation with PBE was carried out for a relaxed PmY7Ho5 crystal.

- Space-group type: Imm2
- Excess energy over the best structure of this formula in the dataset: 0.000 eV/atom
- E_form: 0.24 eV per atom
- Total energy: -5.368 eV per atom
- Total moment: 0.0015 μB per atom

Cell: 6.705 8.704 8.704 Å, 79.49 67.34 67.34°
Positions (direct):
Pm  0.037  0.963  0.963
Y  0.734  0.266  0.266
Y  0.424  0.576  0.576
Y  0.979  0.347  0.695
Y  0.979  0.695  0.347
Y  0.226  0.274  0.274
Y  0.480  0.850  0.190
Y  0.480  0.190  0.850
Ho  0.464  0.995  0.542
Ho  0.999  0.995  0.542
Ho  0.464  0.542  0.995
Ho  0.999  0.542  0.995
Ho  0.733  0.767  0.767


No. 12
A plane-wave DFT calculation with PBE was carried out for a relaxed Pm4Y5Ho crystal.

- Space-group type: C2/m
- Excess energy over the best structure of this formula in the dataset: 0.000 eV/atom
- E_form: 0.19 eV per atom
- Total energy: -5.403 eV per atom
- Total moment: 0.0000 μB per atom

Cell: 3.553 11.138 8.859 Å, 89.86 101.53 90.00°
Positions (direct):
Pm  0.652  0.250  0.306
Pm  0.971  0.249  0.942
Pm  0.348  0.750  0.694
Pm  0.029  0.751  0.058
Y  0.174  0.557  0.349
Y  0.173  0.945  0.348
Y  0.827  0.055  0.652
Y  0.500  0.500  0.000
Y  0.826  0.443  0.651
Ho  0.500  0.000  0.000


> Among the records above, which one has the lowest E_form?

PmY2Ho


Repeat the tenth record exactly.
A plane-wave DFT calculation with PBE was carried out for a relaxed Pm12YHo7 crystal.

- Space-group type: R-3m
- Excess energy over the best structure of this formula in the dataset: 0.000 eV/atom
- E_form: 0.25 eV per atom
- Total energy: -4.528 eV per atom
- Total moment: 0.0000 μB per atom

Cell: 6.195 11.512 11.512 Å, 116.85 100.33 100.33°
Positions (direct):
Pm  0.087  0.587  0.174
Pm  0.087  0.174  0.587
Pm  0.588  0.647  0.000
Pm  0.412  0.000  0.353
Pm  0.500  0.413  0.587
Pm  0.059  0.647  0.647
Pm  0.941  0.353  0.353
Pm  0.500  0.587  0.413
Pm  0.588  0.000  0.647
Pm  0.412  0.353  0.000
Pm  0.913  0.826  0.413
Pm  0.913  0.413  0.826
Y  0.000  0.000  0.000
Ho  0.127  0.755  0.000
Ho  0.873  0.000  0.245
Ho  0.628  0.755  0.755
Ho  0.500  0.000  0.000
Ho  0.372  0.245  0.245
Ho  0.127  0.000  0.755
Ho  0.873  0.245  0.000


Repeat the fourth record exactly.
A plane-wave DFT calculation with PBE was carried out for a relaxed Pm19Y6Ho4 crystal.

- Space-group type: I23
- E_form: 0.37 eV per atom
- Total energy: -4.715 eV per atom
- Total moment: 0.0000 μB per atom

Cell: 10.944 10.944 10.943 Å, 109.47 109.47 109.47°
Positions (direct):
Pm  0.743  0.000  0.743
Pm  0.257  0.000  0.257
Pm  0.257  0.257  0.000
Pm  0.743  0.743  0.000
Pm  0.000  0.743  0.743
Pm  0.000  0.257  0.257
Pm  0.000  0.000  0.000
Pm  0.195  0.219  0.539
Pm  0.805  0.344  0.024
Pm  0.680  0.656  0.461
Pm  0.024  0.805  0.344
Pm  0.320  0.781  0.976
Pm  0.539  0.195  0.219
Pm  0.976  0.320  0.781
Pm  0.461  0.680  0.656
Pm  0.781  0.976  0.320
Pm  0.344  0.024  0.805
Pm  0.219  0.539  0.195
Pm  0.656  0.461  0.680
Y  0.374  0.500  0.874
Y  0.626  0.500  0.126
Y  0.126  0.626  0.500
Y  0.874  0.374  0.500
Y  0.500  0.874  0.374
Y  0.500  0.126  0.626
Ho  0.000  0.000  0.638
Ho  0.000  0.638  0.000
Ho  0.362  0.362  0.362
Ho  0.638  0.000  0.000